[1]
The following is a PBE calculation of an optimized crystal structure of Cs2RbMoCl8, from Alexandria.

a = 5.916 Å, b = 7.793 Å, c = 10.455 Å
α = 89.99°, β = 90.00°, γ = 104.86°
Fractional coordinates of all 12 atoms:
Cs (0.500, 0.500, 0.743)
Cs (0.500, 0.500, 0.257)
Mo (0.000, 0.000, 0.000)
Cl (0.435, 0.753, 0.500)
Cl (0.092, 0.816, 0.838)
Cl (0.385, 0.175, 0.000)
Cl (0.565, 0.247, 0.500)
Cl (0.908, 0.185, 0.838)
Cl (0.615, 0.825, 0.000)
Cl (0.908, 0.184, 0.162)
Rb (0.000, 0.000, 0.500)
Cl (0.092, 0.815, 0.162)

Computed properties:
Formation energy (no corrections) = -1.35 eV per atom
Space-group type = P2/m, No. 10

=====

[2]
The following is a PBE calculation of an optimized crystal structure of Ni2MoPt2, from Alexandria.

a = 2.691 Å, b = 4.695 Å, c = 6.235 Å
α = 73.29°, β = 90.00°, γ = 106.65°
Fractional coordinates of all 5 atoms:
Pt (0.185, 0.370, 0.208)
Mo (0.500, 0.000, 0.000)
Pt (0.815, 0.630, 0.792)
Ni (0.123, 0.246, 0.624)
Ni (0.877, 0.754, 0.376)

Computed properties:
Energy relative to the elements = -32 meV/atom
Space-group type = C2/m, No. 12
Energy above the lowest structure with this stoichiometry = 192 meV per atom

=====

[3]
The following is a PBE calculation of an optimized crystal structure of Sc3Sb2O, from Alexandria.

a = 5.847 Å, b = 6.679 Å, c = 6.679 Å
α = 107.61°, β = 90.00°, γ = 90.00°
Fractional coordinates of all 12 atoms:
O (0.761, 0.928, 0.928)
Sb (0.761, 0.174, 0.478)
O (0.261, 0.072, 0.072)
Sc (0.511, 0.145, 0.855)
Sc (0.762, 0.655, 0.655)
Sc (0.011, 0.855, 0.145)
Sc (0.011, 0.145, 0.855)
Sc (0.262, 0.345, 0.345)
Sb (0.261, 0.826, 0.522)
Sc (0.511, 0.855, 0.145)
Sb (0.261, 0.522, 0.826)
Sb (0.761, 0.478, 0.174)

Computed properties:
Formation energy (no corrections) = -1.46 eV per atom
Space-group type = Cmcm, No. 63

=====

no.,E (eV per atom)
1,-3.707
2,-6.927
3,-6.830